(1)
This record from OQMD describes a relaxed ZnP2O6 crystal. The functional is PBE-GGA.

VASP energy = -6.2898 eV per atom

Lattice parameters (Å, degrees): 8.5572 3.3752 6.4090 90.00 117.53 90.00
Space group C2/m (No. 12)
Unique sites:
Zn1 0.0000 0.0000 0.0000
P1 0.1748 0.0000 0.6081
O1 0.0144 0.0000 0.6776
O2 0.1679 0.5000 0.1381
O3 0.1961 0.5000 0.5547



(2)
This record from OQMD describes a relaxed Zn2P2O7 crystal. The functional is PBE-GGA.

Polymorph energy (0 for the lowest one) = 0.0212 eV per atom

Lattice parameters (Å, degrees): 19.5989 8.2805 9.0805 90.00 100.48 90.00
Space group C2/c (No. 15)
Unique sites:
Zn1 0.0116 0.1889 0.0337
Zn2 0.1638 0.3147 0.1619
Zn3 0.1814 0.3112 0.7054
P1 0.0671 0.4816 0.8635
P2 0.1006 0.0064 0.3154
P3 0.2387 0.0187 0.5371
O1 0.0000 0.4166 0.7500
O2 0.0389 0.0085 0.8978
O3 0.0535 0.3606 0.4360
O4 0.0836 0.3409 0.9744
O5 0.0922 0.1543 0.2120
O6 0.1151 0.1455 0.7363
O7 0.1240 0.4956 0.7681
O8 0.1635 0.0574 0.4460
O9 0.2105 0.4898 0.5723
O10 0.2354 0.1435 0.1173
O11 0.2463 0.3382 0.3554



(3)
This record from OQMD describes a relaxed ZnP2O6 crystal. The functional is PBE-GGA.

VASP energy = -6.6505 eV per atom

Lattice parameters (Å, degrees): 7.5668 7.5083 16.0544 90.00 92.12 90.00
Space group Cc (No. 9)
Unique sites:
Zn1 0.0000 0.1119 0.0000
Zn2 0.0746 0.1946 0.2095
P1 0.1687 0.2019 0.7399
P2 0.1927 0.4733 0.3500
P3 0.4052 0.2780 0.1035
P4 0.4067 0.0296 0.9656
O1 0.0300 0.3026 0.6768
O2 0.0978 0.0274 0.7683
O3 0.1636 0.3255 0.8195
O4 0.2130 0.0400 0.9471
O5 0.2236 0.2011 0.1125
O6 0.2283 0.3538 0.2783
O7 0.3180 0.4831 0.4232
O8 0.3442 0.2014 0.6999
O9 0.4308 0.4765 0.0996
O10 0.4809 0.1342 0.5060
O11 0.4825 0.1957 0.0207
O12 0.4967 0.0743 0.8793



(4)
This record from OQMD describes a relaxed Zn2P2O7 crystal. The functional is PBE-GGA.

Polymorph energy (0 for the lowest one) = 0.0000 eV per atom

Lattice parameters (Å, degrees): 4.8778 13.3118 16.4823 90.00 90.00 90.00
Space group Pbcm (No. 57)
Unique sites:
Zn1 0.0891 0.0449 0.0874
Zn2 0.3175 0.2418 0.6558
P1 0.0312 0.0586 0.7500
P2 0.1788 0.6481 0.2500
P3 0.4219 0.6434 0.5026
O1 0.0192 0.6673 0.1711
O2 0.1348 0.5509 0.6728
O3 0.1955 0.5643 0.0021
O4 0.2061 0.1538 0.7500
O5 0.2605 0.5316 0.2500
O6 0.2608 0.7500 0.0000
O7 0.4035 0.1409 0.0754
O8 0.4072 0.1362 0.5787
O9 0.4494 0.7055 0.2500



Number 1 is which compound?
ZnP2O6